## LaTlZnAg (PBE)

Data for crystalline LaTlZnAg at its relaxed geometry.

For the formation energy, the calculation gives -27 kJ/mol of atoms. As for the crystal system: cubic.

a = 7.243 Å, b = 7.243 Å, c = 7.243 Å
α = 90.00°, β = 90.00°, γ = 90.00°
Space group F-43m (No. 216)
Symmetry-distinct sites (fractional):
La: 0.000 0.000 0.000 (multiplicity 4)
Tl: 0.000 0.000 0.500 (multiplicity 4)
Zn: 0.250 0.250 0.750 (multiplicity 4)
Ag: 0.250 0.250 0.250 (multiplicity 4)

## La2TmAg (PBE)

Data for crystalline La2TmAg at its relaxed geometry.

The excess energy over the best structure of this formula in the dataset is 0.000 eV/atom. For the formation energy, the calculation gives -8 kJ/mol of atoms. As for the crystal system: tetragonal.

a = 3.828 Å, b = 3.828 Å, c = 8.494 Å
α = 90.00°, β = 90.00°, γ = 90.00°
Space group P4/mmm (No. 123)
Symmetry-distinct sites (fractional):
La: 0.000 0.000 0.223 (multiplicity 2)
Tm: 0.500 0.500 0.500 (multiplicity 1)
Ag: 0.500 0.500 0.000 (multiplicity 1)

> formation energy of number 2 (La2TmAg)?

-8 kJ/mol of atoms